(a)
VASP calculation (GGA-PBE) on a relaxed LaSc2Pa crystal.

Computed properties:
ρ = 7.1 g/cm³

Unit cell a=3.3594 b=3.3594 c=32.9456 alpha=90.00 beta=90.00 gamma=120.00
With the nearest neighbours (Å) after each atom.
Space group R-3m (No. 166, hexagonal axes)
One atom of each set of equivalent atoms:
1 La 0.0000 0.0000 0.0000  6 La 3.36, 6 Sc 3.54
2 Sc 0.0000 0.0000 0.2436  3 Pa 3.19, 6 Sc 3.36, 3 La 3.54
3 Pa 0.0000 0.0000 0.5000  6 Sc 3.19, 6 Pa 3.36

=====

(b)
VASP calculation (GGA-PBE) on a relaxed LaSc2Pa crystal.

Computed properties:
ρ = 7.0 g/cm³

Unit cell a=3.3386 b=3.3386 c=9.7466 alpha=90.00 beta=90.00 gamma=90.00
With the nearest neighbours (Å) after each atom.
Space group P4/mmm (No. 123)
One atom of each set of equivalent atoms:
1 La 0.0000 0.0000 0.0000  4 La 3.34, 8 Sc 3.57
2 Sc 0.5000 0.5000 0.2741  4 Pa 3.23, 4 Sc 3.34, 4 La 3.57
3 Pa 0.0000 0.0000 0.5000  8 Sc 3.23, 4 Pa 3.34

=====

Referenced to the most stable arrangement, the calculated values in eV/atom are (a) 0.000; (b) 0.016.

=====

(a)
VASP calculation (GGA-PBE) on a relaxed LaPa2Se6 crystal.

Computed properties:
ρ = 6.6 g/cm³

Unit cell a=14.1770 b=11.3901 c=7.4430 alpha=90.00 beta=115.24 gamma=90.00
With the nearest neighbours (Å) after each atom.
Space group C2/c (No. 15)
One atom of each set of equivalent atoms:
1 La 0.0000 0.1698 0.2500  8 Se 3.05-3.21
2 Pa 0.2345 0.4223 0.9148  6 Se 2.76-2.88
3 Se 0.1209 0.0483 0.6756  2 Pa 2.81-2.88
4 Se 0.1264 0.2644 0.0377  2 Pa 2.76-2.82, 1 La 3.05
5 Se 0.1328 0.3883 0.5043  2 Pa 2.79-2.83

=====

(b)
VASP calculation (GGA-PBE) on a relaxed LaPa2Se6 crystal.

Computed properties:
ρ = 6.0 g/cm³

Unit cell a=14.1474 b=5.4590 c=9.4969 alpha=90.00 beta=125.95 gamma=90.00
With the nearest neighbours (Å) after each atom.
Space group C2/m (No. 12)
One atom of each set of equivalent atoms:
1 La 0.0000 0.0000 0.0000  8 Se 3.05-3.34
2 Pa 0.1828 0.0000 0.6038  6 Se 2.67-2.93
3 Se 0.0380 0.0000 0.7157  2 Pa 2.80-2.81, 1 La 3.05
4 Se 0.1351 0.5000 0.0606  1 Pa 2.67
5 Se 0.2369 0.5000 0.6188  3 Pa 2.82-2.93

=====

Referenced to the most stable arrangement, the calculated values in eV/atom are (a) 0.000; (b) 0.039.

=====

(a)
VASP calculation (GGA-PBE) on a relaxed LaPaSe2 crystal.

Computed properties:
ρ = 9.2 g/cm³

Unit cell a=3.6188 b=3.6188 c=7.2893 alpha=90.00 beta=90.00 gamma=90.00
With the nearest neighbours (Å) after each atom.
Space group P4/mmm (No. 123)
One atom of each set of equivalent atoms:
1 La 0.0000 0.0000 0.0000  8 Se 3.21
2 Pa 0.0000 0.0000 0.5000  8 Se 3.08
3 Se 0.5000 0.5000 0.2651  4 Pa 3.08, 4 La 3.21, 1 Se 3.42

=====

(b)
VASP calculation (GGA-PBE) on a relaxed LaPaSe2 crystal.

Computed properties:
ρ = 8.4 g/cm³

Unit cell a=4.1120 b=4.1120 c=21.3238 alpha=90.00 beta=90.00 gamma=120.00
With the nearest neighbours (Å) after each atom.
Space group R-3m (No. 166, hexagonal axes)
One atom of each set of equivalent atoms:
1 La 0.0000 0.0000 0.0000  6 Se 3.02
2 Pa 0.0000 0.0000 0.5000  6 Se 2.91
3 Se 0.0000 0.0000 0.2459  3 Pa 2.91, 3 La 3.02

=====

Referenced to the most stable arrangement, the calculated values in eV/atom are (a) 0.224; (b) 0.000.